A relaxed Pb2WSe crystal. Source: Alexandria via LeMat-Bulk, functional GGA-PBE.

The structure in POSCAR format:
```
Pb2WSe
1.0
4.1709 -3.9750 0.0000
4.1709 3.9750 0.0000
-0.7177 0.0000 2.8964
Pb W Se
2 1 1
Direct
0.0000 0.5000 0.0000
0.5000 0.0000 0.0000
0.0000 0.0000 0.5000
0.5000 0.5000 0.5000
```

## Properties
E_form (uncorrected) = 808 meV per atom
space-group type = C2/m (12)

=====

A relaxed LiPdI crystal. Source: Alexandria via LeMat-Bulk, functional GGA-PBE.

The structure in POSCAR format:
```
LiPdI
1.0
4.4486 0.0000 0.0000
1.9086 4.5524 0.0000
1.0441 0.5539 7.8940
Li Pd I
2 2 2
Direct
0.0000 0.0000 0.0000
0.0733 0.6830 0.3488
0.4517 0.9722 0.2112
0.7827 0.3574 0.2491
0.1394 0.1326 0.5147
0.6655 0.6420 0.9455
```

## Properties
E_form (uncorrected) = -536 meV per atom
relative energy among the computed polymorphs = 20.9 meV per atom
space-group type = P1 (1)

=====

A relaxed Ti2Ru2W crystal. Source: Alexandria via LeMat-Bulk, functional GGA-PBE.

The structure in POSCAR format:
```
Ti2Ru2W
1.0
7.2094 0.0000 0.0000
0.0000 7.2094 0.0000
0.0000 0.0000 2.9860
Ti Ru W
4 4 2
Direct
0.1616 0.3384 0.0000
0.3384 0.8384 0.0000
0.6616 0.1616 0.0000
0.8384 0.6616 0.0000
0.1391 0.6391 0.5000
0.3609 0.1391 0.5000
0.6391 0.8609 0.5000
0.8609 0.3609 0.5000
0.0000 0.0000 0.5000
0.5000 0.5000 0.5000
```

## Properties
ΔH_f (0 K) = -0.399 eV per formula unit
space-group type = P4/mbm (127)

=====

A relaxed Tl2FeBr4 crystal. Source: Alexandria via LeMat-Bulk, functional GGA-PBE.

The structure in POSCAR format:
```
Tl2FeBr4
1.0
6.7735 -2.0785 0.0000
6.7735 2.0785 0.0000
-3.8585 0.0000 7.8106
Tl Fe Br
2 1 4
Direct
0.1538 0.1538 0.1911
0.8462 0.8462 0.8089
0.5000 0.5000 0.5000
0.1423 0.1423 0.5579
0.4574 0.4574 0.1842
0.5426 0.5426 0.8158
0.8577 0.8577 0.4421
```

## Properties
E_form (uncorrected) = -630 meV per atom
space-group type = C2/m (12)

=====

A relaxed K2CuRe crystal. Source: Alexandria via LeMat-Bulk, functional GGA-PBE.

The structure in POSCAR format:
```
K2CuRe
1.0
2.7113 0.0000 0.0000
0.0000 5.5754 0.0000
0.0000 0.0000 5.8537
K Cu Re
2 1 1
Direct
0.0000 0.0000 0.2493
0.0000 0.0000 0.7507
0.5000 0.5000 0.0000
0.5000 0.5000 0.5000
```

## Properties
relative energy among the computed polymorphs = 456.8 meV per atom
ΔH_f (0 K) = 5.441 eV per formula unit
space-group type = Pmmm (47)

=====

A relaxed InFeIr2 crystal. Source: Alexandria via LeMat-Bulk, functional GGA-PBE.

The structure in POSCAR format:
```
InFeIr2
1.0
-1.9589 1.9589 4.0076
1.9589 -1.9589 4.0076
1.9589 1.9589 -4.0076
In Fe Ir
1 1 2
Direct
0.0000 0.0000 0.0000
0.7500 0.2500 0.5000
0.2500 0.7500 0.5000
0.5000 0.5000 0.0000
```

## Properties
ΔH_f (0 K) = 0.551 eV per formula unit
space-group type = I-4m2 (119)